Entry from Alexandria: a crystal of Zr2CdAs relaxed with PBEsol (meta-GGA SCAN).

a = 3.218 Å, b = 3.218 Å, c = 28.287 Å
α = 90.00°, β = 90.00°, γ = 120.00°
Fractional coordinates of all 12 atoms:
Zr  0.000  0.000  0.000
Zr  0.000  0.000  0.246
Zr  0.333  0.667  0.667
Zr  0.333  0.667  0.913
Zr  0.667  0.333  0.333
Zr  0.667  0.333  0.579
Cd  0.000  0.000  0.491
Cd  0.333  0.667  0.158
Cd  0.667  0.333  0.824
As  0.000  0.000  0.742
As  0.333  0.667  0.408
As  0.667  0.333  0.075

- calculated density (Mg/m³) = 7.3
- M_tot (μB per atom) = 0.000
- raw total energy (Ry per atom) = -2.066
- energy above the most stable polymorph in this dataset (eV per atom) = 0.3929
- ΔH_f (0 K) (eV per atom) = -0.11
- calculated volume (Å³ per cell) = 253.7


Entry from Alexandria: a crystal of Zr2CdAs relaxed with PBEsol (meta-GGA SCAN).

a = 9.461 Å, b = 3.974 Å, c = 4.846 Å
α = 90.00°, β = 120.34°, γ = 90.00°
Fractional coordinates of all 8 atoms:
Zr  0.232  0.000  0.231
Zr  0.268  0.500  0.769
Zr  0.732  0.500  0.231
Zr  0.768  0.000  0.769
Cd  0.000  0.000  0.500
Cd  0.500  0.500  0.500
As  0.000  0.500  0.000
As  0.500  0.000  0.000

- calculated density (Mg/m³) = 7.8
- M_tot (μB per atom) = 0.000
- raw total energy (Ry per atom) = -2.095
- energy above the most stable polymorph in this dataset (eV per atom) = 0.0000
- ΔH_f (0 K) (eV per atom) = -0.51
- calculated volume (Å³ per cell) = 157.2


Entry from Alexandria: a crystal of Cs2CeAsS3Cl2 relaxed with PBEsol (meta-GGA SCAN).

a = 17.573 Å, b = 6.490 Å, c = 9.293 Å
α = 90.00°, β = 90.00°, γ = 90.00°
Fractional coordinates of all 36 atoms:
Cs  0.071  0.250  0.039
Cs  0.220  0.750  0.838
Cs  0.280  0.250  0.338
Cs  0.429  0.750  0.539
Cs  0.571  0.250  0.461
Cs  0.720  0.750  0.662
Cs  0.780  0.250  0.162
Cs  0.929  0.750  0.961
Ce  0.056  0.750  0.433
Ce  0.444  0.250  0.933
Ce  0.556  0.750  0.067
Ce  0.944  0.250  0.567
As  0.137  0.250  0.626
As  0.363  0.750  0.126
As  0.637  0.250  0.874
As  0.863  0.750  0.374
S  0.061  0.509  0.698
S  0.061  0.991  0.698
S  0.089  0.250  0.401
S  0.411  0.750  0.901
S  0.439  0.009  0.198
S  0.439  0.491  0.198
S  0.561  0.509  0.802
S  0.561  0.991  0.802
S  0.589  0.250  0.099
S  0.911  0.750  0.599
S  0.939  0.009  0.302
S  0.939  0.491  0.302
Cl  0.106  0.750  0.142
Cl  0.217  0.750  0.471
Cl  0.283  0.250  0.971
Cl  0.394  0.250  0.642
Cl  0.606  0.750  0.358
Cl  0.717  0.750  0.029
Cl  0.783  0.250  0.529
Cl  0.894  0.250  0.858

- calculated density (Mg/m³) = 4.1
- formation energy (no corrections) (eV/atom) = -1.682
- M_tot (μB per atom) = 0.111
- raw total energy (Ry per atom) = -1.636
- calculated volume (Å³ per cell) = 1059.8